Here is an optimized crystal structure of VNiSeO5 from Alexandria via LeMat-Bulk. Energies are from GGA+U.

As for the space group: No. 15. The value obtained for the raw total energy is -5.869 eV per atom.

Lattice parameters (Å, degrees): 5.655 5.655 7.652 109.48 109.48 105.42
Last column: magnetic moment on the atom in μB.
Positions (direct):
V: 0.000 0.000 0.500  1.12
V: 0.000 0.000 0.000  1.12
Ni: 0.259 0.741 0.250  1.77
Ni: 0.741 0.259 0.750  1.77
Se: 0.723 0.277 0.250  0.01
Se: 0.277 0.723 0.750  0.01
O: 0.035 0.965 0.250  -0.03
O: 0.965 0.035 0.750  -0.03
O: 0.937 0.350 0.085  0.02
O: 0.063 0.650 0.915  0.02
O: 0.650 0.063 0.415  0.02
O: 0.350 0.937 0.585  0.02
O: 0.787 0.608 0.415  0.00
O: 0.213 0.392 0.585  0.00
O: 0.392 0.213 0.085  0.00
O: 0.608 0.787 0.915  0.00